(1)
Tb4Y3Ni4 | PBE-GGA | optimized geometry

abc: 4.5445 7.5200 8.6617
angles: 115.73 105.21 90.00
Atoms (fractional coordinates):
Y 0.8951 0.8951 0.7903
Y 0.0000 0.5000 0.0000
Y 0.1049 0.1049 0.2097
Tb 0.3313 0.1192 0.6627
Tb 0.6687 0.8808 0.3373
Tb 0.6687 0.4566 0.3373
Tb 0.3313 0.5434 0.6627
Ni 0.5000 0.8419 0.0000
Ni 0.2087 0.7087 0.4173
Ni 0.7913 0.2913 0.5827
Ni 0.5000 0.1581 0.0000

## Properties
**DOS(E_F)**: 12.34 states/eV/f.u.
**Volume**: 23.2 A^3/atom
**Size of the total moment**: 0.00 μB per atom
**Uncorrected energy**: -5.761 eV/atom

=====

(2)
MnZn2Tc | PBE-GGA | optimized geometry

abc: 4.7692 4.7692 2.6482
angles: 90.00 90.00 111.01
Atoms (fractional coordinates):
Zn 0.0000 0.0000 0.0000
Zn 0.5000 0.5000 0.0000
Tc 0.0000 0.5000 0.5000
Mn 0.5000 0.0000 0.5000

## Properties
**DOS(E_F)**: 2.92 states/eV/f.u.
**Volume**: 14.1 A^3/atom
**Size of the total moment**: 0.90 μB per atom
**Uncorrected energy**: -5.434 eV/atom

=====

(3)
La3CeZn8 | PBE-GGA | optimized geometry

abc: 5.7336 5.7336 8.7623
angles: 90.00 90.00 120.00
Atoms (fractional coordinates):
Zn 0.6692 0.8346 0.2520
Zn 0.3333 0.6667 0.0048
Zn 0.1654 0.3308 0.2520
Zn 0.1654 0.8346 0.2520
Zn 0.0104 0.5052 0.7484
Zn 0.3333 0.6667 0.4973
Zn 0.4948 0.5052 0.7484
Zn 0.4948 0.9896 0.7484
La 0.6667 0.3333 0.0562
La 0.6667 0.3333 0.4460
La 0.0000 0.0000 0.9297
Ce 0.0000 0.0000 0.5648

## Properties
**DOS(E_F)**: 10.32 states/eV/f.u.
**Volume**: 20.8 A^3/atom
**Size of the total moment**: 0.06 μB per atom
**Uncorrected energy**: -2.875 eV/atom

=====

(4)
BaAgMo | PBE-GGA | optimized geometry

abc: 3.1427 3.1427 8.2040
angles: 90.00 90.00 120.00
Atoms (fractional coordinates):
Mo 0.6667 0.3333 0.6936
Ag 0.0000 0.0000 0.9672
Ba 0.3333 0.6667 0.3392

## Properties
**DOS(E_F)**: 4.39 states/eV/f.u.
**Volume**: 23.4 A^3/atom
**Size of the total moment**: 0.00 μB per atom
**Uncorrected energy**: -4.075 eV/atom

=====

- Look up the uncorrected energy of the second one.
  -5.434 eV/atom